Ho3ReO8 | PBE | optimized geometry

Cell: 7.237 6.024 14.446 Å, 90.00 111.49 90.00°
Element x y z (fractional)
Ho 0.093 0.241 0.202
Ho 0.093 0.259 0.702
Ho 0.160 0.198 0.445
Ho 0.160 0.302 0.945
Ho 0.392 0.689 0.333
Ho 0.392 0.811 0.833
Ho 0.608 0.189 0.167
Ho 0.608 0.311 0.667
Ho 0.840 0.698 0.055
Ho 0.840 0.802 0.555
Ho 0.907 0.741 0.298
Ho 0.907 0.759 0.798
Re 0.321 0.746 0.090
Re 0.321 0.754 0.590
Re 0.679 0.246 0.410
Re 0.679 0.254 0.910
O 0.082 0.694 0.979
O 0.082 0.806 0.479
O 0.148 0.030 0.843
O 0.148 0.470 0.343
O 0.167 0.644 0.171
O 0.167 0.856 0.671
O 0.188 0.530 0.827
O 0.188 0.970 0.327
O 0.248 0.047 0.097
O 0.248 0.453 0.597
O 0.381 0.055 0.588
O 0.381 0.445 0.088
O 0.465 0.205 0.785
O 0.465 0.295 0.285
O 0.477 0.695 0.518
O 0.477 0.805 0.018
O 0.523 0.195 0.982
O 0.523 0.305 0.482
O 0.535 0.705 0.715
O 0.535 0.795 0.215
O 0.619 0.555 0.912
O 0.619 0.945 0.412
O 0.752 0.547 0.403
O 0.752 0.953 0.903
O 0.812 0.030 0.673
O 0.812 0.470 0.173
O 0.833 0.144 0.329
O 0.833 0.356 0.829
O 0.852 0.530 0.657
O 0.852 0.970 0.157
O 0.918 0.194 0.521
O 0.918 0.306 0.021

Summary:
**SG**: P2_1/c, No. 14
**Uncorrected formation energy**: -2.861 eV per atom
**Polymorph energy (0 for the lowest one)**: 0 meV/atom
**Final energy**: -8.35 eV per atom

HoReO5 | PBE | optimized geometry

Cell: 5.491 5.491 7.546 Å, 110.22 110.22 70.74°
Element x y z (fractional)
Ho 0.050 0.950 0.750
Ho 0.950 0.050 0.250
Re 0.500 0.500 0.000
Re 0.500 0.500 0.500
O 0.196 0.778 0.038
O 0.222 0.804 0.462
O 0.254 0.294 0.383
O 0.294 0.254 0.883
O 0.423 0.577 0.750
O 0.577 0.423 0.250
O 0.706 0.746 0.117
O 0.746 0.706 0.617
O 0.778 0.196 0.538
O 0.804 0.222 0.962

Summary:
**SG**: C2/c, No. 15
**Uncorrected formation energy**: -2.262 eV per atom
**Final energy**: -8.24 eV per atom

HoReO4 | PBE | optimized geometry

Cell: 6.504 6.504 5.057 Å, 109.85 109.85 116.11°
Element x y z (fractional)
Ho 0.136 0.864 0.750
Ho 0.864 0.136 0.250
Re 0.406 0.594 0.250
Re 0.594 0.406 0.750
O 0.143 0.563 0.351
O 0.231 0.291 0.784
O 0.291 0.231 0.284
O 0.437 0.857 0.149
O 0.563 0.143 0.851
O 0.709 0.769 0.716
O 0.769 0.709 0.216
O 0.857 0.437 0.649

Summary:
**SG**: C2/c, No. 15
**Uncorrected formation energy**: -2.300 eV per atom
**Polymorph energy (0 for the lowest one)**: 84 meV/atom
**Final energy**: -8.44 eV per atom

HoReO4 | PBE | optimized geometry

Cell: 7.951 5.340 7.526 Å, 90.00 103.07 90.00°
Element x y z (fractional)
Ho 0.111 0.224 0.399
Ho 0.111 0.276 0.899
Ho 0.889 0.724 0.101
Ho 0.889 0.776 0.601
Re 0.333 0.747 0.207
Re 0.333 0.753 0.707
Re 0.667 0.247 0.293
Re 0.667 0.253 0.793
O 0.126 0.000 0.679
O 0.126 0.500 0.179
O 0.143 0.504 0.631
O 0.143 0.996 0.131
O 0.311 0.650 0.952
O 0.311 0.850 0.452
O 0.494 0.012 0.784
O 0.494 0.488 0.284
O 0.506 0.512 0.716
O 0.506 0.988 0.216
O 0.689 0.150 0.548
O 0.689 0.350 0.048
O 0.857 0.004 0.869
O 0.857 0.496 0.369
O 0.874 0.000 0.321
O 0.874 0.500 0.821

Summary:
**SG**: P2_1/c, No. 14
**Uncorrected formation energy**: -2.384 eV per atom
**Polymorph energy (0 for the lowest one)**: 0 meV/atom
**Final energy**: -8.53 eV per atom

Number 1: magnetization 0.0 μB per cell. Number 2: magnetization 0.0 μB per cell. Number 3: magnetization 3.9 μB per cell. Number 4: magnetization 0.9 μB per cell.